# CeScTiCd (PBE, relaxed)
data_CeScTiCd
_chemical_formula_sum 'Ce4 Sc4 Ti4 Cd4'
_space_group_name_H-M_alt 'F -4 3 m'
_space_group_IT_number 216
_space_group_name_Hall 'F -4 2 3'
_cell_length_a 7.220
_cell_length_b 7.220
_cell_length_c 7.220
_cell_angle_alpha 90.00
_cell_angle_beta 90.00
_cell_angle_gamma 90.00
loop_
_atom_site_label
_atom_site_fract_x
_atom_site_fract_y
_atom_site_fract_z
Ce1 0.000 0.000 0.000
Sc1 0.000 0.000 0.500
Ti1 0.250 0.250 0.250
Cd1 0.250 0.250 0.750
# Calculated formation energy = 69 meV/atom
# ρ = 6094 kg/m3


# CeTmScCd (PBE, relaxed)
data_CeTmScCd
_chemical_formula_sum 'Ce4 Tm4 Sc4 Cd4'
_space_group_name_H-M_alt 'F -4 3 m'
_space_group_IT_number 216
_space_group_name_Hall 'F -4 2 3'
_cell_length_a 7.535
_cell_length_b 7.535
_cell_length_c 7.535
_cell_angle_alpha 90.00
_cell_angle_beta 90.00
_cell_angle_gamma 90.00
loop_
_atom_site_label
_atom_site_fract_x
_atom_site_fract_y
_atom_site_fract_z
Ce1 0.000 0.000 0.000
Tm1 0.000 0.000 0.500
Sc1 0.250 0.250 0.750
Cd1 0.250 0.250 0.250
# Calculated formation energy = -3 meV/atom
# ρ = 7241 kg/m3


# Ce2CdSe (PBE, relaxed)
data_Ce2CdSe
_chemical_formula_sum 'Ce2 Cd1 Se1'
_space_group_name_H-M_alt 'P 4/m m m'
_space_group_IT_number 123
_space_group_name_Hall '-P 4 2'
_cell_length_a 3.548
_cell_length_b 3.548
_cell_length_c 8.185
_cell_angle_alpha 90.00
_cell_angle_beta 90.00
_cell_angle_gamma 90.00
loop_
_atom_site_label
_atom_site_fract_x
_atom_site_fract_y
_atom_site_fract_z
Ce1 0.000 0.000 0.223
Cd1 0.500 0.500 0.500
Se1 0.500 0.500 0.000
# Formation energy (no corrections) = -0.797 eV per atom
# ρ = 7600 kg/m3
# Energy above the most stable polymorph in this dataset = 0.0 meV per atom


# Ce3Cd5Se12 (PBE, relaxed)
data_Ce3Cd5Se12
_chemical_formula_sum 'Ce24 Cd40 Se96'
_space_group_name_H-M_alt 'I a -3 d'
_space_group_IT_number 230
_space_group_name_Hall '-I 4bd 2c 3'
_cell_length_a 16.472
_cell_length_b 16.472
_cell_length_c 16.472
_cell_angle_alpha 90.00
_cell_angle_beta 90.00
_cell_angle_gamma 90.00
loop_
_atom_site_label
_atom_site_fract_x
_atom_site_fract_y
_atom_site_fract_z
Ce1 0.000 0.250 0.125
Cd1 0.000 0.000 0.000
Cd2 0.000 0.250 0.375
Se1 0.018 0.070 0.654
# Formation energy (no corrections) = -0.874 eV per atom
# ρ = 5737 kg/m3


# Ce2CdSe (PBE, relaxed)
data_Ce2CdSe
_chemical_formula_sum 'Ce6 Cd3 Se3'
_space_group_name_H-M_alt 'R -3 m'
_space_group_IT_number 166
_space_group_name_Hall '-R 3 2"'
_cell_length_a 3.7665
_cell_length_b 3.7665
_cell_length_c 31.5112
_cell_angle_alpha 90.00
_cell_angle_beta 90.00
_cell_angle_gamma 120.00
loop_
_atom_site_label
_atom_site_fract_x
_atom_site_fract_y
_atom_site_fract_z
Ce1 0.0000 0.0000 0.1060
Cd1 0.0000 0.0000 0.0000
Se1 0.0000 0.0000 0.5000
# Formation energy (no corrections) = -0.489 eV per atom
# ρ = 6068 kg/m3
# Energy above the most stable polymorph in this dataset = 308.0 meV per atom


# Ce3CdSe6 (PBE, relaxed)
data_Ce3CdSe6
_chemical_formula_sum 'Ce12 Cd4 Se24'
_space_group_name_H-M_alt 'C m c 21'
_space_group_IT_number 36
_cell_length_a 11.408
_cell_length_b 14.131
_cell_length_c 7.057
_cell_angle_alpha 90.00
_cell_angle_beta 90.00
_cell_angle_gamma 90.00
loop_
_space_group_symop_operation_xyz
'x,y,z'
'-x,-y,z+1/2'
'-x,y,z'
'x,-y,z+1/2'
'x+1/2,y+1/2,z'
'-x+1/2,-y+1/2,z+1/2'
'-x+1/2,y+1/2,z'
'x+1/2,-y+1/2,z+1/2'
loop_
_atom_site_label
_atom_site_fract_x
_atom_site_fract_y
_atom_site_fract_z
Ce1 0.000 0.102 0.000
Ce2 0.182 0.399 0.091
Cd1 0.000 0.300 0.625
Se1 0.000 0.276 0.255
Se2 0.000 0.471 0.800
Se3 0.162 0.031 0.294
Se4 0.178 0.229 0.830
# Formation energy (no corrections) = -1.526 eV per atom
# ρ = 5876 kg/m3


no.,N(E_F) (states/eV/cell),uncorrected energy (eV/cell),total magnetization (μB/f.u.)
1,26.90,-83.19,2.125
2,28.12,-70.66,1.557
3,12.43,-19.46,2.461
4,68.67,-653.43,0.000
5,37.14,-54.68,3.325
6,67.48,-219.52,2.016